Record 1
GGA-PBE YCdPb3, optimized geometry; volume = 28.4 Å³/atom; space group = P1, No. 1; crystal system = triclinic; energy relative to the elements = -0.17 eV/atom
1.0
4.553 0.000 0.000
2.236 5.582 0.000
2.257 -0.571 5.595
Y Cd Pb
1 1 3
direct
0.000 0.000 0.000
0.405 0.790 0.396
0.195 0.419 0.187
0.627 0.155 0.588
0.806 0.585 0.806

---

Record 2
GGA-PBE YCd2Pb2, optimized geometry; volume = 27.5 Å³/atom; space group = P4/mbm, No. 127; crystal system = tetragonal; energy relative to the elements = -0.10 eV/atom
1.0
8.455 0.000 0.000
0.000 8.455 0.000
0.000 0.000 3.849
Y Cd Pb
2 4 4
direct
0.000 0.000 0.000
0.500 0.500 0.000
0.120 0.380 0.000
0.380 0.880 0.000
0.620 0.120 0.000
0.880 0.620 0.000
0.181 0.681 0.500
0.319 0.181 0.500
0.681 0.819 0.500
0.819 0.319 0.500

---

Record 3
GGA-PBE Y2CdPb, optimized geometry; volume = 28.9 Å³/atom; space group = P4mm, No. 99; crystal system = tetragonal; energy relative to the elements = -0.20 eV/atom
1.0
3.624 0.000 0.000
0.000 3.624 0.000
0.000 0.000 8.793
Y Cd Pb
2 1 1
direct
0.000 0.000 0.000
0.500 0.500 0.283
0.000 0.000 0.509
0.500 0.500 0.737

---

Record 4
GGA-PBE YCdPb2, optimized geometry; volume = 30.7 Å³/atom; space group = R3m, No. 160; crystal system = trigonal; energy relative to the elements = -0.09 eV/atom
1.0
2.342 1.352 6.455
-2.342 1.352 6.455
0.000 -2.705 6.455
Y Cd Pb
1 1 2
direct
0.000 0.000 0.000
0.823 0.823 0.823
0.413 0.413 0.413
0.576 0.576 0.576

---

Record 5
GGA-PBE YCdPb, optimized geometry; volume = 27.0 Å³/atom; space group = Cmcm, No. 63; crystal system = orthorhombic; energy relative to the elements = -0.30 eV/atom
1.0
2.300 -5.557 0.000
2.300 5.557 0.000
0.000 0.000 6.335
Y Cd Pb
2 2 2
direct
0.172 0.828 0.750
0.828 0.172 0.250
0.500 0.500 0.000
0.500 0.500 0.500
0.132 0.868 0.250
0.868 0.132 0.750

---

Record 6
GGA-PBE Y2CdPb, optimized geometry; volume = 29.0 Å³/atom; space group = Pmm2, No. 25; crystal system = orthorhombic; energy relative to the elements = -0.24 eV/atom
1.0
3.709 0.000 0.000
0.000 4.827 0.000
0.000 0.000 6.477
Y Cd Pb
2 1 1
direct
0.000 0.000 0.000
0.500 0.500 0.307
0.000 0.000 0.487
0.500 0.500 0.798

---

Record 7
GGA-PBE YCdPb2, optimized geometry; volume = 28.0 Å³/atom; space group = P4/mmm, No. 123; crystal system = tetragonal; energy relative to the elements = -0.18 eV/atom
1.0
4.014 0.000 0.000
0.000 4.014 0.000
0.000 0.000 6.949
Y Cd Pb
1 1 2
direct
0.000 0.000 0.000
0.000 0.000 0.500
0.500 0.500 0.260
0.500 0.500 0.740

---

Record 8
GGA-PBE Y4CdPb, optimized geometry; volume = 30.7 Å³/atom; space group = F-43m, No. 216; crystal system = cubic; energy relative to the elements = 0.20 eV/atom
1.0
0.000 4.517 4.517
4.517 0.000 4.517
4.517 4.517 0.000
Y Cd Pb
4 1 1
direct
0.125 0.125 0.125
0.125 0.125 0.624
0.125 0.624 0.125
0.624 0.125 0.125
0.750 0.750 0.750
0.500 0.500 0.500